Material: Sr2MgBr
Method: DFT, PBE
State: optimized geometry

Its volume is 38.57 A^3/atom. The energy above the lowest structure with this stoichiometry is 0.1038 eV/atom. Its raw formation energy is -0.618 eV/atom.

The space group is Cm (No. 8) and the conventional cell measures 13.617, 4.051 and 5.595 Å, with angles of 90.00, 90.03 and 90.00 degrees. The distinct sites, in fractional coordinates, are Sr at (0.000, 0.000, 0.000), Sr at (0.229, 0.500, 0.502), Mg at (0.269, 0.000, 0.001) and Br at (0.499, 0.000, 0.501).

---

Material: Sm3Er7Mg
Method: DFT, PBE
State: optimized geometry

For the energy of formation, the calculation gives 189 meV per atom. Its volume is 32.59 A^3/atom.

The space group is P3m1 (No. 156) and the conventional cell measures 6.9586, 6.9586 and 8.5496 Å, with angles of 90.00, 90.00 and 120.00 degrees. The distinct sites, in fractional coordinates, are Sm at (0.0031, 0.5016, 0.0000), Er at (0.1692, 0.3384, 0.3411), Er at (0.3333, 0.6667, 0.6675), Er at (0.3338, 0.1669, 0.6636) and Mg at (0.6667, 0.3333, 0.3434).

---

Material: BaHgAsPb
Method: DFT, PBE
State: optimized geometry

For the energy of formation, the calculation gives -412 meV per atom. Its volume is 36.48 A^3/atom.

The space group is Imm2 (No. 44) and the conventional cell measures 4.122, 4.420 and 16.020 Å, with angles of 90.00, 90.00 and 90.00 degrees. The distinct sites, in fractional coordinates, are Ba at (0.000, 0.000, 0.000), Hg at (0.000, 0.000, 0.352), As at (0.000, 0.000, 0.584) and Pb at (0.000, 0.500, 0.204).